[1]
Below is an optimized crystal structure of MgZrAl2, with properties calculated at the PBE level.

## Properties
The magnetization comes out at 0.00 μB/f.u. As for the crystal system: tetragonal.

abc: 3.227 3.227 7.298
angles: 90.00 90.00 90.00
Space group P4/mmm (No. 123)
One atom of each set of equivalent atoms:
Mg (0.000, 0.000, 0.000) (multiplicity 1)
Zr (0.000, 0.000, 0.500) (multiplicity 1)
Al (0.500, 0.500, 0.242) (multiplicity 2)

=====

[2]
Below is an optimized crystal structure of MgZr2Al, with properties calculated at the PBE level.

## Properties
The magnetization comes out at 0.00 μB/f.u. As for the crystal system: orthorhombic.

abc: 4.487 3.243 11.593
angles: 90.00 90.00 90.00
Space group Amm2 (No. 38)
One atom of each set of equivalent atoms:
Mg (0.000, 0.000, 0.000) (multiplicity 2)
Zr (0.000, 0.000, 0.263) (multiplicity 2)
Zr (0.500, 0.000, 0.611) (multiplicity 2)
Al (0.500, 0.000, 0.865) (multiplicity 2)

=====

[3]
Below is an optimized crystal structure of MgZrAl2, with properties calculated at the PBE level.

## Properties
The magnetization comes out at 0.00 μB/f.u. As for the crystal system: tetragonal.

abc: 4.251 4.251 4.094
angles: 90.00 90.00 90.00
Space group P4/mmm (No. 123)
One atom of each set of equivalent atoms:
Mg (0.000, 0.000, 0.000) (multiplicity 1)
Zr (0.500, 0.500, 0.000) (multiplicity 1)
Al (0.000, 0.500, 0.500) (multiplicity 2)

=====

[4]
Below is an optimized crystal structure of MgZr2Al, with properties calculated at the PBE level.

## Properties
The magnetization comes out at 0.00 μB/f.u. As for the crystal system: tetragonal.

abc: 3.027 3.027 9.177
angles: 90.00 90.00 90.00
Space group P4/mmm (No. 123)
One atom of each set of equivalent atoms:
Mg (0.000, 0.000, 0.000) (multiplicity 1)
Zr (0.500, 0.500, 0.280) (multiplicity 2)
Al (0.000, 0.000, 0.500) (multiplicity 1)

=====

[5]
Below is an optimized crystal structure of MgZr2Al, with properties calculated at the PBE level.

## Properties
The magnetization comes out at 0.00 μB/f.u. As for the crystal system: trigonal.

abc: 3.0699 3.0699 31.3663
angles: 90.00 90.00 120.00
Space group R-3m (No. 166, hexagonal axes)
One atom of each set of equivalent atoms:
Mg (0.0000, 0.0000, 0.0000) (multiplicity 3)
Zr (0.0000, 0.0000, 0.2459) (multiplicity 6)
Al (0.0000, 0.0000, 0.5000) (multiplicity 3)

=====

[6]
Below is an optimized crystal structure of MgZrAl2, with properties calculated at the PBE level.

## Properties
The magnetization comes out at 0.00 μB/f.u. As for the crystal system: tetragonal.

abc: 3.236 3.236 7.410
angles: 90.00 90.00 90.00
Space group P4mm (No. 99)
One atom of each set of equivalent atoms:
Mg (0.000, 0.000, 0.000) (multiplicity 1)
Zr (0.500, 0.500, 0.303) (multiplicity 1)
Al (0.000, 0.000, 0.548) (multiplicity 1)
Al (0.500, 0.500, 0.755) (multiplicity 1)

=====

[7]
Below is an optimized crystal structure of Mg6ZrAl, with properties calculated at the PBE level.

## Properties
The magnetization comes out at 0.00 μB/f.u. Its energy relative to the lowest polymorph listed for this composition is 0.00 eV per formula unit. As for the crystal system: orthorhombic.

abc: 5.032 6.110 11.224
angles: 90.00 90.00 90.00
Space group Amm2 (No. 38)
One atom of each set of equivalent atoms:
Mg (0.000, 0.000, 0.000) (multiplicity 2)
Mg (0.000, 0.000, 0.491) (multiplicity 2)
Mg (0.000, 0.246, 0.750) (multiplicity 4)
Mg (0.500, 0.250, 0.091) (multiplicity 4)
Zr (0.500, 0.000, 0.844) (multiplicity 2)
Al (0.500, 0.000, 0.338) (multiplicity 2)

=====

[8]
Below is an optimized crystal structure of MgZr2Al, with properties calculated at the PBE level.

## Properties
The magnetization comes out at 0.00 μB/f.u. As for the crystal system: tetragonal.

abc: 4.216 4.216 9.300
angles: 90.00 90.00 90.00
Space group I-4m2 (No. 119)
One atom of each set of equivalent atoms:
Mg (0.000, 0.000, 0.000) (multiplicity 2)
Zr (0.000, 0.000, 0.500) (multiplicity 2)
Zr (0.000, 0.500, 0.750) (multiplicity 2)
Al (0.000, 0.500, 0.250) (multiplicity 2)

=====

[9]
Below is an optimized crystal structure of MgZr2Al, with properties calculated at the PBE level.

## Properties
The magnetization comes out at 0.00 μB/f.u. As for the crystal system: tetragonal.

abc: 4.395 4.395 4.251
angles: 90.00 90.00 90.00
Space group P4/mmm (No. 123)
One atom of each set of equivalent atoms:
Mg (0.000, 0.000, 0.000) (multiplicity 1)
Zr (0.000, 0.500, 0.500) (multiplicity 2)
Al (0.500, 0.500, 0.000) (multiplicity 1)

=====

[10]
Below is an optimized crystal structure of MgZrAl2, with properties calculated at the PBE level.

## Properties
The magnetization comes out at 0.00 μB/f.u. As for the crystal system: monoclinic.

abc: 3.166 4.436 5.734
angles: 90.00 105.21 90.00
Space group Pm (No. 6)
One atom of each set of equivalent atoms:
Mg (0.000, 0.000, 0.000) (multiplicity 1)
Zr (0.672, 0.500, 0.331) (multiplicity 1)
Al (0.259, 0.000, 0.514) (multiplicity 1)
Al (0.399, 0.500, 0.800) (multiplicity 1)

=====

[11]
Below is an optimized crystal structure of Mg16ZrAl12, with properties calculated at the PBE level.

## Properties
The magnetization comes out at 0.00 μB/f.u. Its energy relative to the lowest polymorph listed for this composition is 0.00 eV per formula unit. As for the crystal system: trigonal.

abc: 15.0538 15.0538 8.8126
angles: 90.00 90.00 120.00
Space group R3m (No. 160, hexagonal axes)
One atom of each set of equivalent atoms:
Mg (0.0000, 0.0000, 0.0000) (multiplicity 3)
Mg (0.0060, 0.3065, 0.3068) (multiplicity 18)
Mg (0.0636, 0.5318, 0.2180) (multiplicity 9)
Mg (0.2179, 0.1090, 0.5059) (multiplicity 9)
Mg (0.2202, 0.4405, 0.7852) (multiplicity 9)
Zr (0.0000, 0.0000, 0.6271) (multiplicity 3)
Al (0.0606, 0.1211, 0.3162) (multiplicity 9)
Al (0.0905, 0.5453, 0.7377) (multiplicity 9)
Al (0.1546, 0.4865, 0.4814) (multiplicity 18)

=====

[12]
Below is an optimized crystal structure of Mg16ZrAl12, with properties calculated at the PBE level.

## Properties
The magnetization comes out at 0.00 μB/f.u. Its energy relative to the lowest polymorph listed for this composition is 0.20 eV per formula unit. As for the crystal system: monoclinic.

abc: 10.554 14.927 8.972
angles: 90.00 124.55 90.00
Space group Cm (No. 8)
One atom of each set of equivalent atoms:
Mg (0.000, 0.000, 0.000) (multiplicity 2)
Mg (0.006, 0.000, 0.357) (multiplicity 2)
Mg (0.018, 0.303, 0.670) (multiplicity 4)
Mg (0.046, 0.356, 0.350) (multiplicity 4)
Mg (0.105, 0.500, 0.634) (multiplicity 2)
Mg (0.205, 0.202, 0.039) (multiplicity 4)
Mg (0.339, 0.330, 0.362) (multiplicity 4)
Mg (0.344, 0.340, 0.748) (multiplicity 4)
Mg (0.350, 0.000, 0.704) (multiplicity 2)
Mg (0.448, 0.158, 0.958) (multiplicity 4)
Zr (0.321, 0.000, 0.074) (multiplicity 2)
Al (0.002, 0.181, 0.166) (multiplicity 4)
Al (0.103, 0.091, 0.727) (multiplicity 4)
Al (0.132, 0.500, 0.171) (multiplicity 2)
Al (0.187, 0.183, 0.534) (multiplicity 4)
Al (0.234, 0.408, 0.989) (multiplicity 4)
Al (0.281, 0.089, 0.350) (multiplicity 4)
Al (0.323, 0.500, 0.534) (multiplicity 2)

=====

[13]
Below is an optimized crystal structure of Mg3ZrAl, with properties calculated at the PBE level.

## Properties
The magnetization comes out at 3.50 μB/f.u. Its energy relative to the lowest polymorph listed for this composition is 2.93 eV per formula unit. As for the crystal system: cubic.

abc: 5.626 5.626 5.626
angles: 90.00 90.00 90.00
Space group Pm-3m (No. 221)
One atom of each set of equivalent atoms:
Mg (0.000, 0.000, 0.500) (multiplicity 3)
Zr (0.000, 0.000, 0.000) (multiplicity 1)
Al (0.500, 0.500, 0.500) (multiplicity 1)

=====

[14]
Below is an optimized crystal structure of MgZr2Al, with properties calculated at the PBE level.

## Properties
The magnetization comes out at 2.64 μB/f.u. As for the crystal system: cubic.

abc: 6.991 6.991 6.991
angles: 90.00 90.00 90.00
Space group F-43m (No. 216)
One atom of each set of equivalent atoms:
Mg (0.000, 0.000, 0.000) (multiplicity 4)
Zr (0.000, 0.000, 0.500) (multiplicity 4)
Zr (0.250, 0.250, 0.250) (multiplicity 4)
Al (0.250, 0.250, 0.750) (multiplicity 4)

=====

The evaluated calculated total energy for the records listed, in turn: -4.619 -5.743 -4.780 -5.834 -5.660 -4.521 -2.734 -5.753 -5.810 -4.606 -2.776 -2.769 -2.159 -5.483 eV per atom.
The evaluated energy relative to the elements for the records listed, in turn: -0.212 -0.135 -0.373 -0.226 -0.051 -0.114 -0.001 -0.144 -0.201 -0.199 -0.053 -0.046 1.256 0.126 eV per atom.
The evaluated DOS at the Fermi energy for the records listed, in turn: 1.2 11.3 1.1 3.5 12.2 0.9 6.2 6.5 3.3 2.3 26.3 23.3 4.7 20.1 states/eV/cell.